VASP calculation (PBE) on a relaxed Na2SiTe3 crystal.

Output
ρ: 3.52 g/cm³
Distance to the lowest polymorph of the same formula: 0.0000 eV/atom
Formation energy from raw total energies: -3.0 eV/f.u.
SG: C2/c (15)
Calculated total energy: -0.1255 hartree per atom

abc: 8.4019 8.4019 15.7558
angles: 90.25 90.25 129.28
With the nearest neighbours (Å) after each atom.
Sites, in units of the cell vectors:
Na1 0.0090 0.4410 0.1991  4 Te 3.16-3.44
Na2 0.2232 0.2607 0.5698  4 Te 3.20-3.34
Na3 0.2607 0.2232 0.0698  4 Te 3.20-3.34
Na4 0.4410 0.0090 0.6991  4 Te 3.16-3.44
Na5 0.5590 0.9910 0.3009  4 Te 3.16-3.44
Na6 0.7393 0.7768 0.9302  4 Te 3.20-3.34
Na7 0.7768 0.7393 0.4302  4 Te 3.20-3.34
Na8 0.9910 0.5590 0.8009  4 Te 3.16-3.44
Si1 0.2260 0.2587 0.8377  4 Te 2.47-2.61
Si2 0.2587 0.2260 0.3377  4 Te 2.47-2.61
Si3 0.7413 0.7740 0.6623  4 Te 2.47-2.61
Si4 0.7740 0.7413 0.1623  4 Te 2.47-2.61
Te1 0.0164 0.7769 0.6020  1 Si 2.49
Te2 0.1058 0.8942 0.2500  2 Si 2.60
Te3 0.2231 0.9836 0.8980  1 Si 2.49
Te4 0.2506 0.5137 0.9292  1 Si 2.47
Te5 0.4380 0.5620 0.2500  2 Si 2.61
Te6 0.4863 0.7494 0.5708  1 Si 2.47
Te7 0.5137 0.2506 0.4292  1 Si 2.47
Te8 0.5620 0.4380 0.7500  2 Si 2.61
Te9 0.7494 0.4863 0.0708  1 Si 2.47
Te10 0.7769 0.0164 0.1020  1 Si 2.49
Te11 0.8942 0.1058 0.7500  2 Si 2.60
Te12 0.9836 0.2231 0.3980  1 Si 2.49